Model i:
Material: CrCuMo
Method: DFT, PBE
State: optimized geometry

extended XYZ file:
```
3
Lattice="0.0000 2.8707 2.8707 2.8707 0.0000 2.8707 2.8707 2.8707 0.0000" Properties=species:S:1:pos:R:3 pbc="T T T"
Cr 0.0000 0.0000 0.0000
Cu 4.3060 4.3060 4.3060
Mo 1.4353 1.4353 1.4353
```

M_tot in μB per cell: 1.1
DOS(E_F) in states/eV/atom: 0.990
Crystal system: cubic

---

Model ii:
Material: CrCuMo
Method: DFT, PBE
State: optimized geometry

extended XYZ file:
```
3
Lattice="0.0000 2.0357 6.2934 1.5670 0.0000 6.2934 1.5670 2.0357 0.0000" Properties=species:S:1:pos:R:3 pbc="T T T"
Cr 0.0000 0.0000 0.0000
Cu 1.5670 2.0357 4.3013
Mo 1.5670 2.0357 8.4015
```

M_tot in μB per cell: 0.0
DOS(E_F) in states/eV/atom: 0.952
Crystal system: orthorhombic

---

Model iii:
Material: CrCuMo
Method: DFT, PBE
State: optimized geometry

extended XYZ file:
```
3
Lattice="-1.2700 1.2700 6.2096 1.2700 -1.2700 6.2096 1.2700 1.2700 -6.2096" Properties=species:S:1:pos:R:3 pbc="T T T"
Cr 0.0000 0.0000 0.0000
Cu 0.0000 0.0000 8.1064
Mo 0.0000 0.0000 4.0160
```

M_tot in μB per cell: 0.0
DOS(E_F) in states/eV/atom: 0.888
Crystal system: tetragonal

---

Model iv:
Material: CrCuMo
Method: DFT, PBE
State: optimized geometry

extended XYZ file:
```
3
Lattice="4.2972 0.0000 0.0000 -2.1486 3.7215 0.0000 0.0000 0.0000 2.5022" Properties=species:S:1:pos:R:3 pbc="T T T"
Cr 0.0000 0.0000 0.0000
Cu 2.1486 1.2405 0.7510
Mo 0.0000 2.4810 1.7633
```

M_tot in μB per cell: 0.1
DOS(E_F) in states/eV/atom: 1.176
Crystal system: trigonal

---

Name the least stable of them. model i.

---

Model i:
Material: CrCu2Mo
Method: DFT, PBE
State: optimized geometry

extended XYZ file:
```
4
Lattice="2.4728 -4.2292 0.0000 2.4728 4.2292 0.0000 -0.3971 0.0000 2.4780" Properties=species:S:1:pos:R:3 pbc="T T T"
Cr 0.0000 0.0000 0.0000
Cu 1.0378 2.1146 1.2390
Cu 1.0378 -2.1146 1.2390
Mo 2.4728 0.0000 0.0000
```

M_tot in μB per cell: 0.0
DOS(E_F) in states/eV/atom: 1.141
Crystal system: monoclinic

---

Model ii:
Material: CrCu2Mo
Method: DFT, PBE
State: optimized geometry

extended XYZ file:
```
4
Lattice="2.5013 0.0000 0.0000 0.0000 4.2318 0.0000 -0.8405 0.0000 4.8795" Properties=species:S:1:pos:R:3 pbc="T T T"
Cr 0.0000 0.0000 0.0000
Cu 0.9578 2.1159 1.1851
Cu 0.7030 2.1159 3.6945
Mo -0.4203 0.0000 2.4398
```

M_tot in μB per cell: 0.1
DOS(E_F) in states/eV/atom: 0.945
Crystal system: monoclinic

---

Model iii:
Material: CrCu2Mo
Method: DFT, PBE
State: optimized geometry

extended XYZ file:
```
4
Lattice="1.5432 -2.0381 0.0000 1.5432 2.0381 0.0000 0.0000 0.0000 8.3283" Properties=species:S:1:pos:R:3 pbc="T T T"
Cr 0.0000 0.0000 0.0000
Cu 0.0000 0.0000 3.9876
Cu 1.5432 0.0000 2.0040
Mo 1.5432 0.0000 6.1984
```

M_tot in μB per cell: 0.0
DOS(E_F) in states/eV/atom: 0.814
Crystal system: orthorhombic

---

Name the least stable of them. model i.

---

Model i:
Material: CrCu2Mo
Method: DFT, PBE
State: optimized geometry

extended XYZ file:
```
4
Lattice="3.0901 0.0000 0.0000 0.0000 3.0901 0.0000 0.0000 0.0000 5.5109" Properties=species:S:1:pos:R:3 pbc="T T T"
Cr 0.0000 0.0000 0.0000
Cu 0.0000 0.0000 2.6708
Cu 1.5450 1.5450 1.4768
Mo 1.5450 1.5450 4.2520
```

M_tot in μB per cell: 0.4
DOS(E_F) in states/eV/atom: 0.625
Crystal system: tetragonal

---

Model ii:
Material: CrCu2Mo
Method: DFT, PBE
State: optimized geometry

extended XYZ file:
```
4
Lattice="1.7650 -1.8134 0.0000 1.7650 1.8134 0.0000 0.0000 0.0000 8.0926" Properties=species:S:1:pos:R:3 pbc="T T T"
Cr 0.0000 0.0000 0.0000
Cu 1.7650 0.0000 1.9200
Cu 1.7650 0.0000 6.1726
Mo 0.0000 0.0000 4.0463
```

M_tot in μB per cell: 0.4
DOS(E_F) in states/eV/atom: 1.243
Crystal system: orthorhombic

---

Model iii:
Material: CrCu2Mo
Method: DFT, PBE
State: optimized geometry

extended XYZ file:
```
4
Lattice="-1.7675 1.7675 4.1475 1.7675 -1.7675 4.1475 1.7675 1.7675 -4.1475" Properties=species:S:1:pos:R:3 pbc="T T T"
Cr 0.0000 0.0000 0.0000
Cu 1.7675 0.0000 2.0737
Cu 0.0000 1.7675 2.0737
Mo 0.0000 0.0000 4.1475
```

M_tot in μB per cell: 0.7
DOS(E_F) in states/eV/atom: 0.729
Crystal system: tetragonal

---

Model iv:
Material: CrCu2Mo
Method: DFT, PBE
State: optimized geometry

extended XYZ file:
```
4
Lattice="1.3033 0.7524 8.9113 -1.3033 0.7524 8.9113 0.0000 -1.5049 8.9113" Properties=species:S:1:pos:R:3 pbc="T T T"
Cr 0.0000 0.0000 0.0000
Cu 0.0000 0.0000 6.7728
Cu 0.0000 0.0000 19.9610
Mo 0.0000 0.0000 13.3669
```

M_tot in μB per cell: 0.0
DOS(E_F) in states/eV/atom: 0.800
Crystal system: trigonal

---

Name the least stable of them. model iv.

---

Model i:
Material: CrCu2Mo
Method: DFT, PBE
State: optimized geometry

extended XYZ file:
```
4
Lattice="-1.8711 1.8711 3.7915 1.8711 -1.8711 3.7915 1.8711 1.8711 -3.7915" Properties=species:S:1:pos:R:3 pbc="T T T"
Cr 0.0000 0.0000 0.0000
Cu 1.8711 0.0000 1.8957
Cu 0.0000 0.0000 3.7915
Mo 0.0000 1.8711 1.8957
```

M_tot in μB per cell: 1.5
DOS(E_F) in states/eV/atom: 0.931
Crystal system: tetragonal

---

Model ii:
Material: CrCu2Mo
Method: DFT, PBE
State: optimized geometry

extended XYZ file:
```
4
Lattice="2.5039 0.0000 0.0000 0.0000 4.1911 0.0000 -0.4817 0.0000 4.9412" Properties=species:S:1:pos:R:3 pbc="T T T"
Cr 0.0000 0.0000 0.0000
Cu 1.2926 0.0000 2.4119
Cu 1.4514 2.0956 1.1762
Mo 0.1583 2.0956 3.6522
```

M_tot in μB per cell: 0.0
DOS(E_F) in states/eV/atom: 0.619
Crystal system: monoclinic

---

Model iii:
Material: CrCu2Mo
Method: DFT, PBE
State: optimized geometry

extended XYZ file:
```
8
Lattice="-2.6665 2.6665 5.2750 2.6665 -2.6665 5.2750 2.6665 2.6665 -5.2750" Properties=species:S:1:pos:R:3 pbc="T T T"
Cr 0.0000 0.0000 0.0000
Cr 0.0000 2.6665 2.6375
Cu 3.9997 1.2286 -1.3187
Cu 1.2286 1.3332 1.3187
Cu -1.3332 1.4379 3.9562
Cu 1.4379 1.3332 6.5937
Mo 2.6665 0.0000 2.6375
Mo 0.0000 0.0000 5.2750
```

M_tot in μB per cell: 0.0
DOS(E_F) in states/eV/atom: 1.339
Crystal system: tetragonal

---

Model iv:
Material: CrCu2Mo
Method: DFT, PBE
State: optimized geometry

extended XYZ file:
```
4
Lattice="4.3195 -1.2559 0.0000 4.3195 1.2559 0.0000 -0.4940 0.0000 4.7975" Properties=species:S:1:pos:R:3 pbc="T T T"
Cr 0.0000 0.0000 0.0000
Cu 3.9848 0.0000 2.3121
Cu 6.2888 0.0000 1.2446
Mo 1.6805 0.0000 3.6320
```

M_tot in μB per cell: 0.0
DOS(E_F) in states/eV/atom: 0.724
Crystal system: monoclinic

---

Name the least stable of them. model iii.

---

Model i:
Material: CrCu2Mo
Method: DFT, PBE
State: optimized geometry

extended XYZ file:
```
4
Lattice="0.0000 2.9683 2.9683 2.9683 0.0000 2.9683 2.9683 2.9683 0.0000" Properties=species:S:1:pos:R:3 pbc="T T T"
Cr 0.0000 0.0000 0.0000
Cu 1.4841 1.4841 1.4841
Cu 4.4524 4.4524 4.4524
Mo 2.9683 2.9683 2.9683
```

M_tot in μB per cell: 0.0
DOS(E_F) in states/eV/atom: 2.563
Crystal system: cubic

---

Model ii:
Material: CrCu2Mo
Method: DFT, PBE
State: optimized geometry

extended XYZ file:
```
4
Lattice="0.0000 2.9824 2.9824 2.9824 0.0000 2.9824 2.9824 2.9824 0.0000" Properties=species:S:1:pos:R:3 pbc="T T T"
Cr 0.0000 0.0000 0.0000
Cu 1.4912 1.4912 1.4912
Cu 2.9824 2.9824 2.9824
Mo 4.4737 4.4737 4.4737
```

M_tot in μB per cell: 0.3
DOS(E_F) in states/eV/atom: 0.833
Crystal system: cubic

---

Model iii:
Material: CrCu2Mo
Method: DFT, PBE
State: optimized geometry

extended XYZ file:
```
4
Lattice="2.5220 0.0000 0.0000 0.0000 3.8350 0.0000 0.0000 0.0000 5.4015" Properties=species:S:1:pos:R:3 pbc="T T T"
Cr 0.0000 0.0000 0.0000
Cu 0.0000 0.0000 2.5661
Cu 1.2610 1.9175 1.3525
Mo 1.2610 1.9175 4.0506
```

M_tot in μB per cell: 0.5
DOS(E_F) in states/eV/atom: 0.779
Crystal system: orthorhombic

---

Model iv:
Material: CrCu2Mo
Method: DFT, PBE
State: optimized geometry

extended XYZ file:
```
4
Lattice="1.3136 0.7584 8.8431 -1.3136 0.7584 8.8431 0.0000 -1.5168 8.8431" Properties=species:S:1:pos:R:3 pbc="T T T"
Cr 0.0000 0.0000 0.0000
Cu 0.0000 0.0000 13.0486
Cu 0.0000 0.0000 19.7995
Mo 0.0000 0.0000 6.5237
```

M_tot in μB per cell: 0.0
DOS(E_F) in states/eV/atom: 1.061
Crystal system: trigonal

---

Name the least stable of them. model i.

---

Model i:
Material: Cr3CuMo
Method: DFT, PBE
State: optimized geometry

extended XYZ file:
```
5
Lattice="4.4445 0.0000 0.0000 0.0000 4.4445 0.0000 0.0000 0.0000 4.4445" Properties=species:S:1:pos:R:3 pbc="T T T"
Cr 0.0000 0.0000 2.2222
Cr 0.0000 2.2222 0.0000
Cr 2.2222 0.0000 0.0000
Cu 0.0000 0.0000 0.0000
Mo 2.2222 2.2222 2.2222
```

M_tot in μB per cell: 8.1
DOS(E_F) in states/eV/atom: 0.921
Crystal system: cubic

---

Model ii:
Material: Cr3CuMo
Method: DFT, PBE
State: optimized geometry

extended XYZ file:
```
5
Lattice="4.6421 0.0000 0.0000 0.0000 4.6421 0.0000 0.0000 0.0000 4.6421" Properties=species:S:1:pos:R:3 pbc="T T T"
Cr 0.0000 0.0000 2.3211
Cr 0.0000 2.3211 0.0000
Cr 2.3211 0.0000 0.0000
Cu 2.3211 2.3211 2.3211
Mo 0.0000 0.0000 0.0000
```

M_tot in μB per cell: 8.7
DOS(E_F) in states/eV/atom: 0.499
Crystal system: cubic

---

Name the least stable of them. model ii.